Here is a geometry-optimized MnHPd2 structure from Alexandria via LeMat-Bulk. Energies are from PBE.

```
data_MnHPd2
_chemical_formula_sum 'Mn1 H1 Pd2'
_cell_length_a 2.900
_cell_length_b 2.900
_cell_length_c 6.858
_cell_angle_alpha 102.23
_cell_angle_beta 102.23
_cell_angle_gamma 60.04
_space_group_name_H-M_alt 'P 1'
_space_group_IT_number 1
loop_
_space_group_symop_operation_xyz
'x,y,z'
loop_
_atom_site_label
_atom_site_fract_x
_atom_site_fract_y
_atom_site_fract_z
_atom_site_occupancy
Mn1 0.000 0.000 0.000 1
H1 0.827 0.827 0.479 1
Pd1 0.230 0.230 0.686 1
Pd2 0.442 0.442 0.321 1
```

Raw total energy = -5.78 eV/atom



Here is a geometry-optimized Dy3Sc2Cd2 structure from Alexandria via LeMat-Bulk. Energies are from PBE.

```
data_Dy3Sc2Cd2
_chemical_formula_sum 'Dy3 Sc2 Cd2'
_cell_length_a 11.276
_cell_length_b 11.276
_cell_length_c 3.411
_cell_angle_alpha 90.00
_cell_angle_beta 90.00
_cell_angle_gamma 154.82
_space_group_name_H-M_alt 'P 1'
_space_group_IT_number 1
loop_
_space_group_symop_operation_xyz
'x,y,z'
loop_
_atom_site_label
_atom_site_fract_x
_atom_site_fract_y
_atom_site_fract_z
_atom_site_occupancy
Dy1 0.000 0.000 0.000 1
Dy2 0.152 0.848 0.000 1
Dy3 0.848 0.152 0.000 1
Sc1 0.286 0.714 0.500 1
Sc2 0.714 0.286 0.500 1
Cd1 0.428 0.572 0.500 1
Cd2 0.572 0.428 0.500 1
```

DFT formation energy = -0.0909 eV/atom



Here is a geometry-optimized DyEr3Pd2 structure from Alexandria via LeMat-Bulk. Energies are from PBE.

```
data_DyEr3Pd2
_chemical_formula_sum 'Dy2 Er6 Pd4'
_cell_length_a 8.396
_cell_length_b 8.396
_cell_length_c 8.396
_cell_angle_alpha 131.58
_cell_angle_beta 71.85
_cell_angle_gamma 130.37
_space_group_name_H-M_alt 'P 1'
_space_group_IT_number 1
loop_
_space_group_symop_operation_xyz
'x,y,z'
loop_
_atom_site_label
_atom_site_fract_x
_atom_site_fract_y
_atom_site_fract_z
_atom_site_occupancy
Dy1 0.000 0.000 0.000 1
Dy2 0.500 0.500 0.000 1
Er1 0.016 0.250 0.766 1
Er2 0.250 0.750 0.500 1
Er3 0.484 0.250 0.234 1
Er4 0.516 0.750 0.766 1
Er5 0.750 0.250 0.500 1
Er6 0.984 0.750 0.234 1
Pd1 0.141 0.708 0.849 1
Pd2 0.359 0.208 0.568 1
Pd3 0.641 0.792 0.432 1
Pd4 0.859 0.292 0.151 1
```

DFT formation energy = -0.5168 eV/atom



Here is a geometry-optimized Be2SnAu2 structure from Alexandria via LeMat-Bulk. Energies are from PBE.

```
data_Be2SnAu2
_chemical_formula_sum 'Be4 Sn2 Au4'
_cell_length_a 7.286
_cell_length_b 7.286
_cell_length_c 3.008
_cell_angle_alpha 90.00
_cell_angle_beta 90.00
_cell_angle_gamma 90.00
_space_group_name_H-M_alt 'P 1'
_space_group_IT_number 1
loop_
_space_group_symop_operation_xyz
'x,y,z'
loop_
_atom_site_label
_atom_site_fract_x
_atom_site_fract_y
_atom_site_fract_z
_atom_site_occupancy
Be1 0.123 0.377 0.000 1
Be2 0.377 0.877 0.000 1
Be3 0.623 0.123 0.000 1
Be4 0.877 0.623 0.000 1
Sn1 0.000 0.000 0.000 1
Sn2 0.500 0.500 0.000 1
Au1 0.154 0.654 0.500 1
Au2 0.346 0.154 0.500 1
Au3 0.654 0.846 0.500 1
Au4 0.846 0.346 0.500 1
```

DFT formation energy = 0.0887 eV/atom



Here is a geometry-optimized RbRhN2O structure from Alexandria via LeMat-Bulk. Energies are from PBE.

```
data_RbRhN2O
_chemical_formula_sum 'Rb1 Rh1 N2 O1'
_cell_length_a 3.874
_cell_length_b 3.874
_cell_length_c 4.564
_cell_angle_alpha 90.00
_cell_angle_beta 90.00
_cell_angle_gamma 90.00
_space_group_name_H-M_alt 'P 1'
_space_group_IT_number 1
loop_
_space_group_symop_operation_xyz
'x,y,z'
loop_
_atom_site_label
_atom_site_fract_x
_atom_site_fract_y
_atom_site_fract_z
_atom_site_occupancy
Rb1 0.000 0.000 0.000 1
Rh1 0.500 0.500 0.500 1
N1 0.000 0.500 0.500 1
N2 0.500 0.000 0.500 1
O1 0.500 0.500 0.000 1
```

Energy relative to the elements, uncorrected = 303 kJ/mol of formula units



Here is a geometry-optimized KMg2Mn structure from Alexandria via LeMat-Bulk. Energies are from PBE.

```
data_KMg2Mn
_chemical_formula_sum 'K1 Mg2 Mn1'
_cell_length_a 3.591
_cell_length_b 3.591
_cell_length_c 8.770
_cell_angle_alpha 90.00
_cell_angle_beta 90.00
_cell_angle_gamma 90.00
_space_group_name_H-M_alt 'P 1'
_space_group_IT_number 1
loop_
_space_group_symop_operation_xyz
'x,y,z'
loop_
_atom_site_label
_atom_site_fract_x
_atom_site_fract_y
_atom_site_fract_z
_atom_site_occupancy
K1 0.000 0.000 0.000 1
Mg1 0.000 0.000 0.550 1
Mg2 0.500 0.500 0.341 1
Mn1 0.500 0.500 0.689 1
```

DFT formation energy = 0.4453 eV/atom



Q: Which DOS(E_F) values were calculated for the entries above? A: 1.392 7.728 11.799 2.973 3.980 2.661, in states/eV/cell.